<i>
RbLiOF2, optimized geometry, DFT PBE-GGA; magnetization = 2.0 μB per cell; theoretical density = 3.32 g/cm3; N(E_F) = 0.3 states/eV per cell
1.0
4.2873 0.0000 0.0000
0.0000 4.2873 0.0000
0.0000 0.0000 3.9844
Rb Li O F
1 1 1 2
Cartesian
0.0000 0.0000 0.0000
2.1436 2.1436 1.9922
2.1436 2.1436 0.0000
0.0000 2.1436 1.9922
2.1436 0.0000 1.9922

=====

<ii>
RbLiOF2, optimized geometry, DFT PBE-GGA; magnetization = 1.1 μB per cell; theoretical density = 2.12 g/cm3; N(E_F) = 21.0 states/eV per cell
1.0
5.0345 0.0000 0.0000
0.0000 5.0345 0.0000
0.0000 0.0000 4.5227
Rb Li O F
1 1 1 2
Cartesian
0.0000 0.0000 0.0000
2.5173 2.5173 2.2614
0.0000 0.0000 2.2614
0.0000 2.5173 0.0000
2.5173 0.0000 0.0000

=====

What is the least stable structure shown above? It is <ii>.